The following is a GGA-PBE calculation of Sm3Si6Pd20 after structural relaxation, from Alexandria via LeMat-Bulk.

a b c (Å): 8.7471 8.7471 8.7471
angles (deg): 60.00 60.00 60.00
Element x y z (fractional)
Pd (0.0000, 0.0000, 0.3463)
Pd (0.3846, 0.8462, 0.3846)
Pd (0.6537, 0.0000, 0.3463)
Pd (0.0000, 0.0000, 0.6537)
Pd (0.0000, 0.6537, 0.3463)
Pd (0.0000, 0.3463, 0.6537)
Pd (0.3463, 0.0000, 0.6537)
Pd (0.6537, 0.0000, 0.0000)
Pd (0.0000, 0.3463, 0.0000)
Pd (0.6154, 0.1538, 0.6154)
Pd (0.6154, 0.6154, 0.1538)
Pd (0.3846, 0.3846, 0.8462)
Pd (0.3463, 0.6537, 0.0000)
Pd (0.6537, 0.3463, 0.0000)
Pd (0.3846, 0.3846, 0.3846)
Pd (0.1538, 0.6154, 0.6154)
Pd (0.3463, 0.0000, 0.0000)
Pd (0.6154, 0.6154, 0.6154)
Pd (0.8462, 0.3846, 0.3846)
Pd (0.0000, 0.6537, 0.0000)
Si (0.2672, 0.7328, 0.7328)
Si (0.7328, 0.2672, 0.7328)
Si (0.2672, 0.7328, 0.2672)
Si (0.7328, 0.2672, 0.2672)
Si (0.7328, 0.7328, 0.2672)
Si (0.2672, 0.2672, 0.7328)
Sm (0.0000, 0.0000, 0.0000)
Sm (0.2500, 0.2500, 0.2500)
Sm (0.7500, 0.7500, 0.7500)

The calculated volume is 473.2 Å³/cell. The formation energy without anion corrections comes out at -806 meV per atom. The raw total energy is -6.00 eV/atom. For the magnetic moment, the calculation gives 0.00 μB per cell.